# 1
Material: SrCa2Cu
Method: DFT, PBE
State: relaxed

Calculated volume ... 35.10 Å³/atom
E above lowest polymorph ... 110 meV per atom
E ... -2.38 eV per atom
M_tot ... 0.0 μB per cell
N(E_F) ... 4.60 states/eV/f.u.

Unit cell a=7.108 b=7.108 c=7.108 alpha=148.51 beta=131.00 gamma=59.42
Positions (direct):
Sr 0.000 0.000 0.000
Ca 0.310 0.810 0.500
Ca 0.626 0.626 0.000
Cu 0.804 0.304 0.500

=====

# 2
Material: TaRe2As
Method: DFT, PBE
State: relaxed

Calculated volume ... 15.64 Å³/atom
E ... -10.10 eV per atom
M_tot ... 0.0 μB per cell
N(E_F) ... 2.45 states/eV/f.u.

Unit cell a=5.108 b=5.108 c=5.108 alpha=136.40 beta=136.40 gamma=63.36
Positions (direct):
Ta 0.000 0.000 0.000
Re 0.500 0.500 0.000
Re 0.750 0.250 0.500
As 0.250 0.750 0.500

=====

# 3
Material: AcCdP
Method: DFT, PBE
State: relaxed

Calculated volume ... 28.62 Å³/atom
E above lowest polymorph ... 420 meV per atom
E ... -3.90 eV per atom
M_tot ... 0.0 μB per cell
N(E_F) ... 0.44 states/eV/f.u.

Unit cell a=6.332 b=6.332 c=6.332 alpha=144.33 beta=144.33 gamma=51.33
Positions (direct):
Ac 0.000 0.000 0.000
Cd 0.288 0.288 0.000
P 0.622 0.622 0.000

=====

Number 1 is which compound? SrCa2Cu